[1]
MgRuC3 PBE-GGA relaxed; formation enthalpy at 0 K = 1.786 eV per atom; space group = Pm-3m (221); calculated volume = 63 Å³ per cell; DFT total energy = -5.9225 eV/atom
1.0
3.9844 0.0000 0.0000
0.0000 3.9844 0.0000
0.0000 0.0000 3.9844
Mg Ru C
1 1 3
Cartesian
0.0000 0.0000 0.0000 Mg
1.9922 1.9922 1.9922 Ru
0.0000 1.9922 1.9922 C
1.9922 0.0000 1.9922 C
1.9922 1.9922 0.0000 C


[2]
Cs2AcI3Br3 PBE-GGA relaxed; uncorrected formation energy = -1.51 eV per atom; space group = P-62m (189); calculated volume = 390 Å³ per cell; DFT total energy = -3.2288 eV/atom
1.0
9.6729 0.0000 0.0000
-4.8365 8.3770 0.0000
0.0000 0.0000 4.8112
Cs Ac I Br
2 1 3 3
Cartesian
0.0000 5.5847 0.0000 Cs
4.8365 2.7923 0.0000 Cs
0.0000 0.0000 2.4056 Ac
-3.0987 5.3671 2.4056 I
1.7377 3.0099 2.4056 I
6.1974 0.0000 2.4056 I
-1.0801 1.8709 0.0000 Br
2.1603 0.0000 0.0000 Br
3.7563 6.5061 0.0000 Br


[3]
Th3Br4Cl2 PBE-GGA relaxed; uncorrected formation energy = -1.51 eV per atom; space group = P-6m2 (187); calculated volume = 376 Å³ per cell; DFT total energy = -5.1389 eV/atom
1.0
3.7966 0.0000 0.0000
-1.8983 3.2879 0.0000
0.0000 0.0000 30.0912
Th Br Cl
3 4 2
Cartesian
0.0000 0.0000 0.0000 Th
0.0000 2.1919 7.8566 Th
0.0000 2.1919 22.2346 Th
0.0000 0.0000 5.7363 Br
0.0000 0.0000 9.9759 Br
0.0000 0.0000 20.1153 Br
0.0000 0.0000 24.3549 Br
0.0000 2.1919 1.9042 Cl
0.0000 2.1919 28.1870 Cl


- Look up the calculated volume of the first one.
  63 Å³ per cell


- Among the records above, which one has the lowest DFT total energy?
  MgRuC3